No. 1
Below is an optimized crystal structure of HoEr2Pa, with properties calculated at the PBE-GGA level.

**Offset from the most stable computed form**: 0.000 eV/atom
**Magnetic moment**: 0.00 μB per cell
**Symmetry**: R3m
**Energy relative to the elements**: 0.102 eV/atom

```
4
Lattice="-0.1555 1.1827 3.1923 -1.3081 -1.9432 2.4752 9.8815 -4.5588 3.9894" Properties=species:S:1:pos:R:3 pbc="T T T"
Ho -0.9646 -0.5116 3.7806
Er 7.2213 -3.4543 3.4506
Er 2.1759 -1.3594 2.4287
Pa 4.1943 -2.6535 4.8255
```

=====

No. 2
Below is an optimized crystal structure of Ag3BiBr2F6, with properties calculated at the PBE-GGA level.

**Magnetic moment**: 0.96 μB per cell
**Symmetry**: C2/m
**ΔE_f (raw)**: -15.4 eV/f.u.

```
12
Lattice="-1.4825 -4.9774 0.3163 3.8790 -1.5078 -5.5455 3.2024 -0.8966 6.8182" Properties=species:S:1:pos:R:3 pbc="T T T"
Ag 1.9395 -0.7539 -2.7728
Ag 2.7994 -3.6909 0.7945
Ag 0.8600 -2.9370 3.5672
Bi -0.7413 -2.4887 0.1582
Br 3.5378 -2.2476 -1.2486
Br 2.0611 -5.1342 2.8376
F 0.4513 -4.2406 -0.5939
F 5.1476 -3.1412 2.1828
F 4.4547 -5.2422 0.2069
F 1.1442 -2.1396 1.3821
F 3.1144 -2.3509 5.0896
F 2.4845 -5.0309 -3.5006
```